Record 1
A plane-wave DFT calculation with PBE-GGA was carried out for crystalline ZrF4 at its relaxed geometry.

Geometry as CIF:
```
data_ZrF4
_symmetry_space_group_name_H-M 'P 1'
_symmetry_Int_Tables_number 1
_cell_length_a 4.800
_cell_length_b 4.950
_cell_length_c 4.940
_cell_angle_alpha 90.00
_cell_angle_beta 105.61
_cell_angle_gamma 90.00
loop_
_symmetry_equiv_pos_as_xyz
'x,y,z'
loop_
_atom_site_label
_atom_site_type_symbol
_atom_site_fract_x
_atom_site_fract_y
_atom_site_fract_z
Zr1 Zr 0.000 0.249 0.250
Zr2 Zr 0.000 0.751 0.750
F1 F 0.237 0.431 0.626
F2 F 0.237 0.569 0.126
F3 F 0.239 0.072 0.996
F4 F 0.239 0.928 0.496
F5 F 0.761 0.072 0.504
F6 F 0.761 0.928 0.004
F7 F 0.763 0.431 0.874
F8 F 0.763 0.569 0.374
```

* final energy: -67.5 eV/cell
* mass density: 4.9 Mg/m³
* space group: P2/c, No. 13

=====

Record 2
A plane-wave DFT calculation with PBE-GGA was carried out for crystalline NdPPdO at its relaxed geometry.

Geometry as CIF:
```
data_NdPPdO
_symmetry_space_group_name_H-M 'P 1'
_symmetry_Int_Tables_number 1
_cell_length_a 5.850
_cell_length_b 5.850
_cell_length_c 4.580
_cell_angle_alpha 90.00
_cell_angle_beta 90.00
_cell_angle_gamma 90.00
loop_
_symmetry_equiv_pos_as_xyz
'x,y,z'
loop_
_atom_site_label
_atom_site_type_symbol
_atom_site_fract_x
_atom_site_fract_y
_atom_site_fract_z
Nd1 Nd 0.250 0.750 0.000
Nd2 Nd 0.750 0.250 0.000
P1 P 0.250 0.250 0.010
P2 P 0.750 0.750 0.990
Pd1 Pd 0.250 0.250 0.510
Pd2 Pd 0.750 0.750 0.490
O1 O 0.250 0.750 0.500
O2 O 0.750 0.250 0.500
```

* final energy: -48.9 eV/cell
* mass density: 6.3 Mg/m³
* space group: P4/nmm, No. 129

=====

Record 3
A plane-wave DFT calculation with PBE-GGA was carried out for crystalline HoHf at its relaxed geometry.

Geometry as CIF:
```
data_HoHf
_symmetry_space_group_name_H-M 'P 1'
_symmetry_Int_Tables_number 1
_cell_length_a 6.600
_cell_length_b 6.600
_cell_length_c 6.600
_cell_angle_alpha 90.00
_cell_angle_beta 90.00
_cell_angle_gamma 90.00
loop_
_symmetry_equiv_pos_as_xyz
'x,y,z'
loop_
_atom_site_label
_atom_site_type_symbol
_atom_site_fract_x
_atom_site_fract_y
_atom_site_fract_z
Ho1 Ho 0.000 0.000 0.000
Ho2 Ho 0.000 0.500 0.500
Ho3 Ho 0.500 0.000 0.500
Ho4 Ho 0.500 0.500 0.000
Hf1 Hf 0.250 0.250 0.250
Hf2 Hf 0.250 0.750 0.750
Hf3 Hf 0.750 0.250 0.750
Hf4 Hf 0.750 0.750 0.250
```

* mass density: 7.9 Mg/m³
* space group: F-43m, No. 216
* ΔH_f (0 K): 2.49 eV per atom